DFT (GGA-PBE) results for a relaxed structure of Ce2NpS4. Values from VASP.

Mass density: 6.25 g cm⁻³
Size of the total moment: 12.86 μB/cell
VASP energy: -7.645 eV per atom
E_form (uncorrected): -168.1 kJ/mol of atoms

```
&SYSTEM
  ibrav = 0, nat = 14, ntyp = 3
/
ATOMIC_SPECIES
Ce 140.12 Ce.upf
Np 237.00 Np.upf
S 32.06 S.upf
CELL_PARAMETERS angstrom
1.9587 -6.6850 0.0000
1.9587 6.6850 0.0000
0.0000 0.0000 13.0937
ATOMIC_POSITIONS crystal
Ce 0.1324 0.8676 0.5704
Ce 0.1324 0.8676 0.9296
Ce 0.8676 0.1324 0.0704
Ce 0.8676 0.1324 0.4296
Np 0.3772 0.6228 0.7500
Np 0.6228 0.3772 0.2500
S 0.0233 0.9767 0.7500
S 0.2241 0.7759 0.1266
S 0.2241 0.7759 0.3734
S 0.5000 0.5000 0.0000
S 0.5000 0.5000 0.5000
S 0.7759 0.2241 0.6266
S 0.7759 0.2241 0.8734
S 0.9767 0.0233 0.2500
```